# ScMoPbO6

An optimized crystal structure of ScMoPbO6 (PBE+U, the Alexandria database).

Results
Fermi-level density of states = 3.208 states/eV/f.u.
Crystal system = trigonal
SG = P312, No. 149
ρ = 5.999 Mg/m³
Total energy = -64.09 eV/cell
Total magnetic moment = 0.000 μB per atom

Lattice parameters (Å, degrees): 5.378 5.378 4.908 90.00 90.00 60.00
Element x y z (fractional)
Sc: 0.667 0.667 0.500
Mo: 0.333 0.333 0.500
O: 0.624 0.021 0.280
O: 0.021 0.624 0.720
O: 0.624 0.355 0.720
Pb: 0.000 0.000 0.000
O: 0.021 0.355 0.280
O: 0.355 0.021 0.720
O: 0.355 0.624 0.280